1.
VASP calculation (GGA-PBEsol) on a relaxed ScZnGa crystal.

Cell: 4.2439 6.4351 7.3945 Å, 90.00 90.00 90.00°
Space group Imm2 (No. 44)
Inequivalent atoms, fractional coordinates:
Sc  0.0000  0.0000  0.0000 [2 per cell]
Sc  0.0000  0.5000  0.0082 [2 per cell]
Zn  0.0000  0.2255  0.3366 [4 per cell]
Ga  0.0000  0.2417  0.6705 [4 per cell]

Results
The volume comes out at 16.83 Å³ per atom. As for the energy relative to the elements: -0.560 eV/atom.

***

2.
VASP calculation (GGA-PBEsol) on a relaxed Sr2SnSe5 crystal.

Cell: 12.0499 16.3722 8.5316 Å, 90.00 90.00 90.00°
Space group P2_12_12 (No. 18)
Inequivalent atoms, fractional coordinates:
Sr  0.1162  0.1781  0.2435 [4 per cell]
Sr  0.1183  0.1789  0.7406 [4 per cell]
Sr  0.2472  0.4302  0.2587 [4 per cell]
Sr  0.2481  0.4302  0.7624 [4 per cell]
Sn  0.0529  0.6060  0.9970 [4 per cell]
Sn  0.0893  0.6726  0.5165 [4 per cell]
Se  0.0000  0.0000  0.1589 [2 per cell]
Se  0.0000  0.0000  0.6627 [2 per cell]
Se  0.0000  0.5000  0.2274 [2 per cell]
Se  0.0000  0.5000  0.7724 [2 per cell]
Se  0.0575  0.8889  0.9851 [4 per cell]
Se  0.0621  0.8900  0.4843 [4 per cell]
Se  0.1230  0.3251  0.5059 [4 per cell]
Se  0.1274  0.7390  0.7869 [4 per cell]
Se  0.1304  0.7509  0.2653 [4 per cell]
Se  0.1340  0.3178  0.0055 [4 per cell]
Se  0.2398  0.0725  0.9853 [4 per cell]
Se  0.2484  0.5700  0.5135 [4 per cell]

Results
The volume comes out at 26.30 Å³ per atom. The value obtained for the uncorrected formation energy is -1.19 eV per atom.

***

3.
VASP calculation (GGA-PBEsol) on a relaxed Y2GeH2 crystal.

Cell: 3.6101 3.6101 11.7973 Å, 90.00 90.00 90.00°
Space group I4/mmm (No. 139)
Inequivalent atoms, fractional coordinates:
Y  0.0000  0.0000  0.1408 [4 per cell]
Ge  0.0000  0.0000  0.5000 [2 per cell]
H  0.0000  0.5000  0.2500 [4 per cell]

Results
The volume comes out at 15.38 Å³ per atom.

***

4.
VASP calculation (GGA-PBEsol) on a relaxed NiAu2F8 crystal.

Cell: 5.4337 5.4728 10.6718 Å, 90.00 109.23 90.00°
Space group P2_1/c (No. 14)
Inequivalent atoms, fractional coordinates:
Ni  0.0000  0.0000  0.0000 [2 per cell]
Au  0.3674  0.2164  0.3317 [4 per cell]
F  0.0617  0.1115  0.1844 [4 per cell]
F  0.1592  0.2108  0.4523 [4 per cell]
F  0.3233  0.6850  0.5214 [4 per cell]
F  0.4291  0.7134  0.2848 [4 per cell]

Results
The volume comes out at 13.62 Å³ per atom. The value obtained for the uncorrected formation energy is -1.20 eV per atom.

***

5.
VASP calculation (GGA-PBEsol) on a relaxed K2MgMo2H4O10 crystal.

Cell: 5.8756 6.4644 7.6844 Å, 111.25 96.11 109.54°
Space group P-1 (No. 2)
Inequivalent atoms, fractional coordinates:
K  0.1605  0.2831  0.2578 [2 per cell]
Mg  0.5000  0.0000  0.5000 [1 per cell]
Mo  0.1722  0.3438  0.7405 [2 per cell]
H  0.3751  0.8655  0.1060 [2 per cell]
H  0.4239  0.8631  0.7966 [2 per cell]
O  0.1215  0.7615  0.4242 [2 per cell]
O  0.1441  0.1976  0.8912 [2 per cell]
O  0.2683  0.6614  0.8762 [2 per cell]
O  0.3947  0.2946  0.6080 [2 per cell]
O  0.4508  0.0134  0.2331 [2 per cell]

Results
The volume comes out at 13.03 Å³ per atom.

***

6.
VASP calculation (GGA-PBEsol) on a relaxed Sc2ZnIr crystal.

Cell: 4.2957 4.2957 7.0338 Å, 90.00 90.00 90.00°
Space group I-4m2 (No. 119)
Inequivalent atoms, fractional coordinates:
Sc  0.0000  0.0000  0.0000 [2 per cell]
Sc  0.0000  0.5000  0.2500 [2 per cell]
Zn  0.0000  0.0000  0.5000 [2 per cell]
Ir  0.0000  0.5000  0.7500 [2 per cell]

Results
The volume comes out at 16.22 Å³ per atom. The calculation puts the energy above the most stable polymorph in this dataset at 184 meV/atom. As for the energy relative to the elements: -0.533 eV/atom.

***

7.
VASP calculation (GGA-PBEsol) on a relaxed LiSi2Au crystal.

Cell: 3.7861 3.7861 4.0202 Å, 90.00 90.00 90.00°
Space group P4/mmm (No. 123)
Inequivalent atoms, fractional coordinates:
Li  0.0000  0.0000  0.0000 [1 per cell]
Si  0.0000  0.5000  0.5000 [2 per cell]
Au  0.5000  0.5000  0.0000 [1 per cell]

Results
The volume comes out at 14.41 Å³ per atom. The calculation puts the energy above the most stable polymorph in this dataset at 4 meV/atom. The value obtained for the uncorrected formation energy is -0.11 eV per atom.

***

8.
VASP calculation (GGA-PBEsol) on a relaxed Mn4N crystal.

Cell: 3.6885 3.6885 3.6885 Å, 90.00 90.00 90.00°
Space group Pm-3m (No. 221)
Inequivalent atoms, fractional coordinates:
Mn  0.0000  0.0000  0.0000 [1 per cell]
Mn  0.0000  0.5000  0.5000 [3 per cell]
N  0.5000  0.5000  0.5000 [1 per cell]

Results
The volume comes out at 10.04 Å³ per atom. The value obtained for the uncorrected formation energy is -0.21 eV per atom.

***

9.
VASP calculation (GGA-PBEsol) on a relaxed BaCuSe2Br crystal.

Cell: 4.7988 4.7988 5.3447 Å, 90.00 90.00 90.00°
Space group P4/mmm (No. 123)
Inequivalent atoms, fractional coordinates:
Ba  0.0000  0.0000  0.0000 [1 per cell]
Cu  0.5000  0.5000  0.5000 [1 per cell]
Se  0.0000  0.5000  0.5000 [2 per cell]
Br  0.5000  0.5000  0.0000 [1 per cell]

Results
The volume comes out at 24.62 Å³ per atom. The value obtained for the uncorrected formation energy is -0.92 eV per atom.

***

10.
VASP calculation (GGA-PBEsol) on a relaxed TlNiAg2 crystal.

Cell: 3.0943 3.0943 6.9415 Å, 90.00 90.00 90.00°
Space group P4mm (No. 99)
Inequivalent atoms, fractional coordinates:
Tl  0.0000  0.0000  0.0000 [1 per cell]
Ni  0.5000  0.5000  0.7700 [1 per cell]
Ag  0.0000  0.0000  0.5546 [1 per cell]
Ag  0.5000  0.5000  0.3018 [1 per cell]

Results
The volume comes out at 16.62 Å³ per atom. The calculation puts the energy above the most stable polymorph in this dataset at 0 meV/atom. As for the energy relative to the elements: 0.206 eV/atom.

***

11.
VASP calculation (GGA-PBEsol) on a relaxed CrNi2 crystal.

Cell: 3.5437 10.3850 3.4341 Å, 90.00 90.00 90.00°
Space group Cmcm (No. 63)
Inequivalent atoms, fractional coordinates:
Cr  0.0000  0.0812  0.2500 [4 per cell]
Ni  0.0000  0.2513  0.7500 [4 per cell]
Ni  0.0000  0.4203  0.2500 [4 per cell]

Results
The volume comes out at 10.53 Å³ per atom. As for the energy relative to the elements: 0.018 eV/atom.

***

12.
VASP calculation (GGA-PBEsol) on a relaxed Ba2MgAu crystal.

Cell: 5.4988 5.4988 7.7921 Å, 90.00 90.00 90.00°
Space group I-4m2 (No. 119)
Inequivalent atoms, fractional coordinates:
Ba  0.0000  0.0000  0.0000 [2 per cell]
Ba  0.0000  0.5000  0.2500 [2 per cell]
Mg  0.0000  0.0000  0.5000 [2 per cell]
Au  0.0000  0.5000  0.7500 [2 per cell]

Results
The volume comes out at 29.45 Å³ per atom. As for the energy relative to the elements: -0.196 eV/atom.

***

| no. | raw total energy (eV per atom) |
| --- | --- |
| 1 | -4.40 |
| 2 | -4.59 |
| 3 | -5.83 |
| 4 | -3.87 |
| 5 | -6.78 |
| 6 | -6.69 |
| 7 | -4.46 |
| 8 | -9.73 |
| 9 | -4.13 |
| 10 | -3.65 |
| 11 | -7.50 |
| 12 | -2.68 |